Compound: Th2Ni6Ge
Source: Alexandria
Functional: PBE
Structure: optimized geometry

Cell lengths 5.3573, 5.3573, 5.6772 Å; angles 90.00, 90.00, 120.00 degrees
With the nearest neighbours (Å) after each atom.
Space group P-3m1 (No. 164)
Asymmetric unit:
Th1 0.3333 0.6667 0.1896 (multiplicity 2)  9 Ni 2.79-3.11
Ni1 0.1739 0.3478 0.6723 (multiplicity 6)  1 Ge 2.46, 4 Ni 2.54-2.56
Ge1 0.0000 0.0000 0.0000 (multiplicity 1)  6 Ni 2.46

Summary:
- raw total energy (eV/f.u.) = -58.4
- mass density (Mg/m³) = 10.46